## w
Computed, not measured: a relaxed structure of AgRu3N at the PBE level of DFT.

a = 4.931 Å, b = 4.931 Å, c = 4.931 Å
α = 90.00°, β = 90.00°, γ = 90.00°
Element x y z (fractional)
Ag (0.000, 0.000, 0.000)
Ru (0.000, 0.000, 0.500)
Ru (0.000, 0.500, 0.000)
Ru (0.500, 0.000, 0.000)
N (0.500, 0.500, 0.500)

ρ   5.89 g/cm³
Size of the total moment   9.90 μB per cell

***

## x
Computed, not measured: a relaxed structure of AgRu3N at the PBE level of DFT.

a = 4.071 Å, b = 4.071 Å, c = 4.071 Å
α = 90.00°, β = 90.00°, γ = 90.00°
Element x y z (fractional)
Ag (0.000, 0.000, 0.000)
Ru (0.000, 0.500, 0.500)
Ru (0.500, 0.000, 0.500)
Ru (0.500, 0.500, 0.000)
N (0.500, 0.500, 0.500)

ρ   10.46 g/cm³
Size of the total moment   1.78 μB per cell

***

Stability, descending: x, w

***

## w
Computed, not measured: a relaxed structure of AgRuS2N at the PBE level of DFT.

a = 4.907 Å, b = 4.907 Å, c = 3.908 Å
α = 90.00°, β = 90.00°, γ = 90.00°
Element x y z (fractional)
Ag (0.000, 0.000, 0.000)
Ru (0.500, 0.500, 0.500)
S (0.000, 0.500, 0.000)
S (0.500, 0.000, 0.000)
N (0.000, 0.000, 0.500)

ρ   5.07 g/cm³
Size of the total moment   4.79 μB per cell

***

## x
Computed, not measured: a relaxed structure of AgRuS2N at the PBE level of DFT.

a = 4.861 Å, b = 4.861 Å, c = 3.644 Å
α = 90.00°, β = 90.00°, γ = 90.00°
Element x y z (fractional)
Ag (0.000, 0.000, 0.000)
Ru (0.500, 0.500, 0.500)
S (0.000, 0.500, 0.500)
S (0.500, 0.000, 0.500)
N (0.500, 0.500, 0.000)

ρ   5.54 g/cm³
Size of the total moment   0.00 μB per cell

***

Stability, descending: x, w

***

## w
Computed, not measured: a relaxed structure of AgRuSeN2 at the PBE level of DFT.

a = 3.793 Å, b = 3.793 Å, c = 5.551 Å
α = 90.00°, β = 90.00°, γ = 90.00°
Element x y z (fractional)
Ag (0.000, 0.000, 0.000)
Ru (0.500, 0.500, 0.500)
Se (0.500, 0.500, 0.000)
N (0.000, 0.500, 0.500)
N (0.500, 0.000, 0.500)

ρ   6.57 g/cm³
Size of the total moment   0.38 μB per cell

***

## x
Computed, not measured: a relaxed structure of AgRuSeN2 at the PBE level of DFT.

a = 3.928 Å, b = 3.928 Å, c = 5.455 Å
α = 90.00°, β = 90.00°, γ = 90.00°
Element x y z (fractional)
Ag (0.000, 0.000, 0.000)
Ru (0.500, 0.500, 0.500)
Se (0.000, 0.000, 0.500)
N (0.000, 0.500, 0.000)
N (0.500, 0.000, 0.000)

ρ   6.23 g/cm³
Size of the total moment   2.86 μB per cell

***

Stability, descending: w, x

***

## w
Computed, not measured: a relaxed structure of AgTeRuN2 at the PBE level of DFT.

a = 3.985 Å, b = 3.985 Å, c = 6.371 Å
α = 90.00°, β = 90.00°, γ = 90.00°
Element x y z (fractional)
Ag (0.000, 0.000, 0.000)
Te (0.000, 0.000, 0.500)
Ru (0.500, 0.500, 0.500)
N (0.000, 0.500, 0.000)
N (0.500, 0.000, 0.000)

ρ   5.98 g/cm³
Size of the total moment   1.64 μB per cell

***

## x
Computed, not measured: a relaxed structure of AgTeRuN2 at the PBE level of DFT.

a = 3.858 Å, b = 3.858 Å, c = 5.819 Å
α = 90.00°, β = 90.00°, γ = 90.00°
Element x y z (fractional)
Ag (0.000, 0.000, 0.000)
Te (0.500, 0.500, 0.000)
Ru (0.500, 0.500, 0.500)
N (0.000, 0.500, 0.500)
N (0.500, 0.000, 0.500)

ρ   6.99 g/cm³
Size of the total moment   0.38 μB per cell

***

Stability, descending: x, w

***

## w
Computed, not measured: a relaxed structure of Ag2SN at the PBE level of DFT.

a = 6.923 Å, b = 6.923 Å, c = 6.923 Å
α = 137.92°, β = 137.92°, γ = 61.02°
Element x y z (fractional)
Ag (0.045, 0.625, 0.920)
Ag (0.375, 0.295, 0.420)
Ag (0.705, 0.125, 0.080)
Ag (0.875, 0.955, 0.580)
S (0.250, 0.750, 0.500)
S (0.500, 0.500, 0.000)
N (0.000, 0.000, 0.000)
N (0.750, 0.250, 0.500)

ρ   5.90 g/cm³
Size of the total moment   0.00 μB per cell

***

## x
Computed, not measured: a relaxed structure of Ag2SN at the PBE level of DFT.

a = 4.416 Å, b = 4.416 Å, c = 4.416 Å
α = 60.00°, β = 60.00°, γ = 60.00°
Element x y z (fractional)
Ag (0.250, 0.250, 0.250)
Ag (0.750, 0.750, 0.750)
S (0.000, 0.000, 0.000)
N (0.500, 0.500, 0.500)

ρ   7.14 g/cm³
Size of the total moment   1.81 μB per cell

***

Stability, descending: w, x

***

## w
Computed, not measured: a relaxed structure of AgS3N at the PBE level of DFT.

a = 4.939 Å, b = 4.939 Å, c = 4.939 Å
α = 90.00°, β = 90.00°, γ = 90.00°
Element x y z (fractional)
Ag (0.000, 0.000, 0.000)
S (0.000, 0.000, 0.500)
S (0.000, 0.500, 0.000)
S (0.500, 0.000, 0.000)
N (0.500, 0.500, 0.500)

ρ   3.01 g/cm³
Size of the total moment   5.98 μB per cell

***

## x
Computed, not measured: a relaxed structure of AgS3N at the PBE level of DFT.

a = 8.763 Å, b = 8.763 Å, c = 10.160 Å
α = 116.86°, β = 116.86°, γ = 57.94°
Element x y z (fractional)
Ag (0.049, 0.951, 0.750)
Ag (0.392, 0.608, 0.750)
Ag (0.608, 0.392, 0.250)
Ag (0.951, 0.049, 0.250)
S (0.016, 0.257, 0.136)
S (0.112, 0.192, 0.507)
S (0.192, 0.112, 0.007)
S (0.257, 0.016, 0.636)
S (0.354, 0.463, 0.882)
S (0.463, 0.354, 0.382)
S (0.537, 0.646, 0.618)
S (0.646, 0.537, 0.118)
S (0.743, 0.984, 0.364)
S (0.808, 0.888, 0.993)
S (0.888, 0.808, 0.493)
S (0.984, 0.743, 0.864)
N (0.170, 0.582, 0.943)
N (0.418, 0.830, 0.557)
N (0.582, 0.170, 0.443)
N (0.830, 0.418, 0.057)

ρ   2.56 g/cm³
Size of the total moment   0.00 μB per cell

***

Stability, descending: x, w